Here is a relaxed Pr4YTl2 crystal from the Alexandria database. Energies are from PBE.

a = 9.566 Å, b = 6.685 Å, c = 4.957 Å
α = 120.99°, β = 105.22°, γ = 59.17°
Element x y z (fractional)
Y (0.999, 0.000, 0.000)
Tl (0.269, 0.380, 0.597)
Tl (0.732, 0.621, 0.403)
Pr (0.327, 0.731, 0.362)
Pr (0.673, 0.270, 0.639)
Pr (0.500, 0.000, 0.000)
Pr (0.000, 0.499, 0.000)

Space-group type: No. 1
Energy above the lowest structure with this stoichiometry: 0.0000 eV/atom
Formation energy: -1.94 kcal/mol of atoms